! Ba2ThZnSe5 PBE relaxed; values from VASP
! Space-group type: Cmc2_1
! E, eV/atom: -4.998
&SYSTEM
  ibrav = 0, nat = 18, ntyp = 4
/
ATOMIC_SPECIES
Ba 137.33 Ba.upf
Th 232.04 Th.upf
Zn 65.41 Zn.upf
Se 78.96 Se.upf
CELL_PARAMETERS angstrom
-2.7123 -3.2175 1.1306
7.2780 -0.9215 6.4402
-6.3841 8.3359 8.4074
ATOMIC_POSITIONS angstrom
Ba -2.1370 3.3668 12.8517
Ba -3.0593 5.1617 7.3503
Ba -0.6737 2.1257 4.4333
Ba 2.0412 -2.0099 7.5739
Th -1.1404 1.2194 9.1315
Th 2.2492 -0.8447 2.9918
Zn -6.6462 5.8891 9.2125
Zn 2.4793 1.3741 9.8584
Se 4.0943 -1.6962 4.9949
Se -4.6670 4.6974 10.5692
Se 0.9794 3.9213 13.5088
Se -0.7590 4.0584 9.7286
Se 0.6062 0.5411 11.3910
Se -2.8418 1.8833 6.9391
Se 1.2879 1.5372 7.4643
Se -3.1021 0.6730 2.8702
Se 0.0152 -1.2647 4.8343
Se 0.3479 0.0356 0.9360